A plane-wave DFT calculation with PBE was carried out for a relaxed K2BaSb crystal.

The space group is I-42d (No. 122) and the conventional cell measures 5.2181, 5.2181 and 27.0981 Å, with angles of 90.00, 90.00 and 90.00 degrees. The inequivalent atoms are K at (0.2091, 0.2500, 0.1250), Ba at (0.0000, 0.0000, 0.5000) and Sb at (0.0000, 0.0000, 0.0000).

The value obtained for the size of the total moment is 0.0 Bohr magnetons per cell. The value obtained for the total DFT energy (no corrections) is -37.56 eV/cell. For the uncorrected formation energy, the calculation gives -111 kJ/mol of formula units.

---

A plane-wave DFT calculation with PBE was carried out for a relaxed K2BaSb crystal.

The space group is Pmm2 (No. 25) and the conventional cell measures 4.2838, 4.6863 and 10.5292 Å, with angles of 90.00, 90.00 and 90.00 degrees. The inequivalent atoms are K at (0.0000, 0.0000, 0.0000), K at (0.5000, 0.5000, 0.3289), Ba at (0.0000, 0.0000, 0.6617) and Sb at (0.5000, 0.5000, 0.8072).

The value obtained for the size of the total moment is 0.0 Bohr magnetons per cell. The value obtained for the total DFT energy (no corrections) is -9.78 eV/cell. For the uncorrected formation energy, the calculation gives -149 kJ/mol of formula units.

---

A plane-wave DFT calculation with PBE was carried out for a relaxed K2BaSb crystal.

The space group is R-3m (No. 166, hexagonal axes) and the conventional cell measures 4.2202, 4.2202 and 40.3084 Å, with angles of 90.00, 90.00 and 120.00 degrees. The inequivalent atoms are K at (0.0000, 0.0000, 0.2293), Ba at (0.0000, 0.0000, 0.0000) and Sb at (0.0000, 0.0000, 0.5000).

The value obtained for the size of the total moment is 3.5 Bohr magnetons per cell. The value obtained for the total DFT energy (no corrections) is -24.08 eV/cell. For the uncorrected formation energy, the calculation gives 20 kJ/mol of formula units.

---

A plane-wave DFT calculation with PBE was carried out for a relaxed KBa2Sb crystal.

The space group is F-43m (No. 216) and the conventional cell measures 8.8048, 8.8048 and 8.8048 Å, with angles of 90.00, 90.00 and 90.00 degrees. The inequivalent atoms are K at (0.0000, 0.0000, 0.0000), Ba at (0.0000, 0.0000, 0.5000), Ba at (0.2500, 0.2500, 0.7500) and Sb at (0.2500, 0.2500, 0.2500).

The value obtained for the size of the total moment is 5.2 Bohr magnetons per cell. The value obtained for the total DFT energy (no corrections) is -39.11 eV/cell. For the uncorrected formation energy, the calculation gives -69 kJ/mol of formula units.

---

A plane-wave DFT calculation with PBE was carried out for a relaxed KBaSb3 crystal.

The space group is Pm-3m (No. 221) and the conventional cell measures 5.8796, 5.8796 and 5.8796 Å, with angles of 90.00, 90.00 and 90.00 degrees. The inequivalent atoms are K at (0.0000, 0.0000, 0.0000), Ba at (0.5000, 0.5000, 0.5000) and Sb at (0.0000, 0.0000, 0.5000).

The value obtained for the size of the total moment is 0.0 Bohr magnetons per cell. The value obtained for the total DFT energy (no corrections) is -13.68 eV/cell. For the uncorrected formation energy, the calculation gives 165 kJ/mol of formula units.

---

A plane-wave DFT calculation with PBE was carried out for a relaxed KBaSb4 crystal.

The space group is F-43m (No. 216) and the conventional cell measures 9.2733, 9.2733 and 9.2733 Å, with angles of 90.00, 90.00 and 90.00 degrees. The inequivalent atoms are K at (0.0000, 0.0000, 0.0000), Ba at (0.2500, 0.2500, 0.2500) and Sb at (0.1255, 0.1255, 0.6255).

The value obtained for the size of the total moment is 0.0 Bohr magnetons per cell. The value obtained for the total DFT energy (no corrections) is -88.48 eV/cell. For the uncorrected formation energy, the calculation gives -252 kJ/mol of formula units.

---

Question: Among the records above, which one has the lowest total DFT energy (no corrections)?
Answer: KBaSb4

---

Question: total DFT energy (no corrections) of number 5 (KBaSb3)?
Answer: -13.68 eV/cell

---

Question: Which value of total DFT energy (no corrections) does entry 3 give?
Answer: -24.08 eV/cell

---

Question: Which of these has the highest size of the total moment?
Answer: KBa2Sb